Entry 1:
VASP calculation (PBE) on an optimized crystal structure of CuSiAg.

Computed properties:
**DFT total energy**: -3.94 eV/atom
**Formation energy (no corrections)**: 188.3 meV/atom
**Symmetry**: I4mm, No. 107

POSCAR file:
```
CuSiAg
1.0
5.9663 -0.0632 0.0644
5.3254 2.6895 0.1129
0.6409 0.1013 2.7513
Ag Cu Si
1 1 1
Direct
0.0032 0.0032 0.9968
0.6824 0.6824 0.3176
0.3144 0.3144 0.6856
```

---

Entry 2:
VASP calculation (PBE) on an optimized crystal structure of YZr2Sn2.

Computed properties:
**DFT total energy**: -6.25 eV/atom
**Calculated formation energy**: 0.062 eV/atom
**Symmetry**: I4/mmm, No. 139

POSCAR file:
```
YZr2Sn2
1.0
-1.8233 0.6628 -4.1519
-2.6809 -3.6695 0.5915
-6.8139 2.2489 0.8222
Zr Sn Y
2 2 1
Direct
0.6035 0.6035 0.7930
0.3965 0.3965 0.2070
0.7500 0.2500 0.5000
0.2500 0.7500 0.5000
0.0000 0.0000 0.0000
```

---

Entry 3:
VASP calculation (PBE) on an optimized crystal structure of LiPmGdDy.

Computed properties:
**DFT total energy**: -6.15 eV/atom
**Calculated formation energy**: 0.182 eV/atom
**Symmetry**: F-43m, No. 216

POSCAR file:
```
LiPmGdDy
1.0
-1.9960 3.7084 3.5896
-3.0610 -1.6758 4.2946
2.0527 0.2659 5.1320
Li Pm Dy Gd
1 1 1 1
Direct
0.7500 0.7500 0.7500
0.0000 0.0000 0.0000
0.5000 0.5000 0.5000
0.2500 0.2500 0.2500
```

---

Entry 4:
VASP calculation (PBE) on an optimized crystal structure of PaCo5Si2.

Computed properties:
**DFT total energy**: -7.46 eV/atom
**Formation energy (no corrections)**: -474.9 meV/atom
**Symmetry**: Immm, No. 71

POSCAR file:
```
PaCo5Si2
1.0
3.5732 0.0000 0.0000
1.7866 5.5423 0.4484
1.7866 1.4590 5.3656
Si Co Pa
2 5 1
Direct
0.7597 0.7403 0.7403
0.2403 0.2597 0.2597
0.0000 0.5000 0.5000
0.6408 0.1646 0.5538
0.6408 0.5538 0.1646
0.3592 0.8354 0.4462
0.3592 0.4462 0.8354
0.0000 0.0000 0.0000
```

---

Entry 5:
VASP calculation (PBE) on an optimized crystal structure of Ho2Er2Tm.

Computed properties:
**DFT total energy**: -4.43 eV/atom
**Calculated formation energy**: 0.124 eV/atom
**Symmetry**: Amm2, No. 38

POSCAR file:
```
Ho2Er2Tm
1.0
-2.2168 -1.0652 -2.4508
-2.8023 -3.0010 3.8391
-3.3008 7.8203 -0.4132
Ho Er Tm
2 2 1
Direct
0.7000 0.2091 0.4183
0.2000 0.7814 0.5630
0.2000 0.4002 0.8004
0.7000 0.5903 0.1805
0.2000 0.0189 0.0377
```

---

Entry 6:
VASP calculation (PBE) on an optimized crystal structure of Rb6AgAu2.

Computed properties:
**DFT total energy**: -1.76 eV/atom
**Calculated formation energy**: -0.074 eV/atom
**Symmetry**: C2/m, No. 12

POSCAR file:
```
Rb6AgAu2
1.0
6.8085 0.0000 0.0000
-3.4043 8.2271 -1.6113
0.0000 -4.6894 10.3955
Rb Ag Au
6 1 2
Direct
0.3660 0.7321 0.4726
0.0369 0.0738 0.2150
0.9631 0.9262 0.7850
0.6340 0.2679 0.5274
0.7384 0.4767 0.1393
0.2616 0.5233 0.8607
0.0000 0.0000 0.5000
0.1922 0.3843 0.1016
0.8078 0.6157 0.8984
```

---

Entry 7:
VASP calculation (PBE) on an optimized crystal structure of InCoGe2.

Computed properties:
**DFT total energy**: -4.71 eV/atom
**Calculated formation energy**: 0.056 eV/atom
**Symmetry**: R-3m, No. 166

POSCAR file:
```
InCoGe2
1.0
3.1520 0.0000 0.0000
1.5760 2.7297 0.0000
1.5760 0.9099 8.6187
Co Ge In
1 2 1
Direct
0.5000 0.5000 0.5000
0.8935 0.8935 0.3194
0.1065 0.1065 0.6806
0.0000 0.0000 0.0000
```

---

Entry 8:
VASP calculation (PBE) on an optimized crystal structure of CaEu2Ni.

Computed properties:
**DFT total energy**: -7.10 eV/atom
**Calculated formation energy**: -0.017 eV/atom
**Symmetry**: P4/mmm, No. 123

POSCAR file:
```
CaEu2Ni
1.0
3.6215 0.0000 0.0000
0.0000 3.6215 0.0000
0.0000 0.0000 9.5459
Eu Ca Ni
2 1 1
Direct
0.0000 0.0000 0.1752
0.0000 0.0000 0.8248
0.5000 0.5000 0.5000
0.5000 0.5000 0.0000
```

---

Entry 9:
VASP calculation (PBE) on an optimized crystal structure of Cs7K12Hg.

Computed properties:
**DFT total energy**: -0.93 eV/atom
**Calculated formation energy**: 0.045 eV/atom
**Symmetry**: R-3m, No. 166

POSCAR file:
```
Cs7K12Hg
1.0
8.3545 0.0000 -1.5187
-4.1464 13.1859 -6.9839
-0.0616 0.0000 15.4865
K Cs Hg
12 7 1
Direct
0.5617 0.9996 0.6339
0.9061 0.8120 0.4059
0.9278 0.3661 0.3657
0.0939 0.1880 0.5941
0.9059 0.4061 0.8120
0.0722 0.6339 0.6343
0.5002 0.5941 0.4061
0.4998 0.4059 0.5939
0.4383 0.0004 0.3661
0.4379 0.3657 0.9996
0.5621 0.6343 0.0004
0.0941 0.5939 0.1880
0.5000 0.0000 0.0000
0.8928 0.0002 0.2394
0.1074 0.7609 0.0002
0.1072 0.9998 0.7606
0.3466 0.2394 0.2391
0.8926 0.2391 0.9998
0.6534 0.7606 0.7609
0.0000 0.0000 0.0000
```

---

Entry 10:
VASP calculation (PBE) on an optimized crystal structure of CaNi3GeP.

Computed properties:
**DFT total energy**: -5.28 eV/atom
**Calculated formation energy**: -0.385 eV/atom
**Symmetry**: Cmcm, No. 63

POSCAR file:
```
CaNi3GeP
1.0
-2.8347 2.1079 4.1603
-2.7995 -5.4700 0.8640
5.8921 1.0539 3.4807
Ni P Ge Ca
6 2 2 2
Direct
0.5000 0.2929 0.0000
0.0000 0.2929 0.0000
0.2500 0.2400 0.4800
0.7500 0.7600 0.5200
0.0000 0.7071 0.0000
0.5000 0.7071 0.0000
0.2500 0.4078 0.8155
0.7500 0.5922 0.1845
0.7500 0.9427 0.8854
0.2500 0.0573 0.1146
0.7500 0.2219 0.4439
0.2500 0.7781 0.5561
```

---

Entry 11:
VASP calculation (PBE) on an optimized crystal structure of La3Ta.

Computed properties:
**DFT total energy**: -6.25 eV/atom
**Calculated formation energy**: 0.408 eV/atom
**Symmetry**: Pmmn, No. 59

POSCAR file:
```
La3Ta
1.0
-3.2185 -1.6886 -4.1598
-3.0192 -3.7093 3.8417
-4.5336 5.1556 1.4149
La Ta
6 2
Direct
0.0000 0.8087 0.7433
0.0000 0.8087 0.2567
0.0000 0.3541 0.5000
0.5000 0.1913 0.2433
0.5000 0.6459 0.0000
0.5000 0.1913 0.7567
0.5000 0.7079 0.5000
0.0000 0.2921 0.0000
```

---

Entry 12:
VASP calculation (PBE) on an optimized crystal structure of AcErAs2Rh5.

Computed properties:
**DFT total energy**: -6.69 eV/atom
**Calculated formation energy**: -0.610 eV/atom
**Symmetry**: P4/mmm, No. 123

POSCAR file:
```
AcErAs2Rh5
1.0
4.1597 0.0000 0.0000
0.0000 4.1597 0.0000
0.0000 0.0000 11.0376
Ac Rh As Er
1 5 2 1
Direct
0.0000 0.0000 0.5000
0.5000 0.0000 0.1786
0.5000 0.0000 0.8214
0.0000 0.5000 0.1786
0.5000 0.5000 0.5000
0.0000 0.5000 0.8214
0.5000 0.5000 0.7171
0.5000 0.5000 0.2829
0.0000 0.0000 0.0000
```